Record 1
An optimized crystal structure of AsP2OsS, computed with GGA-PBE.

a b c (Å): 4.4477 4.4477 5.1206
angles (deg): 90.00 90.00 90.00
Closest atoms and distances in Å follow each position.
Fractional positions:
1 As 0.5000 0.5000 0.5000  4 S 3.14, 8 P 3.39
2 P 0.0000 0.5000 0.0000  2 Os 2.22
3 Os 0.0000 0.0000 0.0000  4 P 2.22
4 S 0.0000 0.0000 0.5000  2 Os 2.56
5 P 0.5000 0.0000 0.0000  2 Os 2.22

Calculated values
Uncorrected energy ... -5.404 eV/atom
Density ... 5888 kg/m3
Energy relative to the elements, uncorrected ... 3.81 eV/f.u.
Energy above the lowest structure with this stoichiometry ... 0.000 eV/atom


Record 2
An optimized crystal structure of As2POsSe, computed with GGA-PBE.

a b c (Å): 4.6389 4.6389 5.2969
angles (deg): 90.00 90.00 90.00
Closest atoms and distances in Å follow each position.
Fractional positions:
1 Se 0.0000 0.0000 0.5000  2 Os 2.65
2 P 0.5000 0.5000 0.5000  4 Se 3.28, 8 As 3.52
3 As 0.5000 0.0000 0.0000  2 Os 2.32
4 As 0.0000 0.5000 0.0000  2 Os 2.32
5 Os 0.0000 0.0000 0.0000  4 As 2.32

Calculated values
Uncorrected energy ... -4.963 eV/atom
Density ... 6556 kg/m3
Energy relative to the elements, uncorrected ... 4.61 eV/f.u.
Energy above the lowest structure with this stoichiometry ... 0.000 eV/atom


Record 3
An optimized crystal structure of AsPOsSe2, computed with GGA-PBE.

a b c (Å): 4.8898 4.8898 4.7152
angles (deg): 90.00 90.00 90.00
Closest atoms and distances in Å follow each position.
Fractional positions:
1 Se 0.0000 0.5000 0.0000  2 Os 2.44
2 Se 0.5000 0.0000 0.0000  2 Os 2.44
3 As 0.0000 0.0000 0.5000  2 Os 2.36
4 Os 0.0000 0.0000 0.0000  2 As 2.36, 4 Se 2.44
5 P 0.5000 0.5000 0.5000  8 Se 3.40, 4 As 3.46

Calculated values
Uncorrected energy ... -4.677 eV/atom
Density ... 6687 kg/m3
Energy relative to the elements, uncorrected ... 4.87 eV/f.u.
Energy above the lowest structure with this stoichiometry ... 0.000 eV/atom


Record 4
An optimized crystal structure of AsPOsSe2, computed with GGA-PBE.

a b c (Å): 4.6371 4.6371 4.5291
angles (deg): 90.00 90.00 90.00
Closest atoms and distances in Å follow each position.
Fractional positions:
1 As 0.0000 0.0000 0.5000  2 P 2.26
2 P 0.0000 0.0000 0.0000  2 As 2.26, 4 Se 2.32
3 Se 0.0000 0.5000 0.0000  2 P 2.32
4 Os 0.5000 0.5000 0.5000  8 Se 3.24, 4 As 3.28
5 Se 0.5000 0.0000 0.0000  2 P 2.32

Calculated values
Uncorrected energy ... -4.279 eV/atom
Density ... 7742 kg/m3
Energy relative to the elements, uncorrected ... 6.86 eV/f.u.
Energy above the lowest structure with this stoichiometry ... 0.398 eV/atom


Record 5
An optimized crystal structure of As2POsSe, computed with GGA-PBE.

a b c (Å): 4.5126 4.5126 4.6651
angles (deg): 90.00 90.00 90.00
Closest atoms and distances in Å follow each position.
Fractional positions:
1 As 0.5000 0.0000 0.0000  2 P 2.26
2 P 0.0000 0.0000 0.0000  4 As 2.26, 2 Se 2.33
3 Se 0.0000 0.0000 0.5000  2 P 2.33
4 Os 0.5000 0.5000 0.5000  4 Se 3.19, 8 As 3.25
5 As 0.0000 0.5000 0.0000  2 P 2.26

Calculated values
Uncorrected energy ... -4.544 eV/atom
Density ... 7866 kg/m3
Energy relative to the elements, uncorrected ... 6.70 eV/f.u.
Energy above the lowest structure with this stoichiometry ... 0.419 eV/atom


Record 6
An optimized crystal structure of Th4As2POs, computed with GGA-PBE.

a b c (Å): 4.1673 7.3139 7.3614
angles (deg): 109.04 90.00 90.00
Closest atoms and distances in Å follow each position.
Fractional positions:
1 Th 0.5000 0.7487 0.7635  1 Os 2.90, 2 P 2.94, 3 As 3.02-3.08
2 As 0.5000 0.0000 0.5000  6 Th 3.08-3.09
3 Os 0.5000 0.5000 0.0000  6 Th 2.88-2.90
4 As 0.0000 0.5000 0.5000  6 Th 3.02
5 Th 0.5000 0.2513 0.2365  1 Os 2.90, 2 P 2.94, 3 As 3.02-3.08
6 Th 0.0000 0.2646 0.7700  2 Os 2.88, 1 P 2.96, 3 As 3.02-3.09
7 Th 0.0000 0.7354 0.2300  2 Os 2.88, 1 P 2.96, 3 As 3.02-3.09
8 P 0.0000 0.0000 0.0000  6 Th 2.94-2.96

Calculated values
Uncorrected energy ... -8.062 eV/atom
Density ... 10172 kg/m3
Formation enthalpy at 0 K ... -1110 meV/atom